! RuN (PBE-GGA, relaxed); values from VASP
! ΔE_f (raw) = 119 kJ/mol of formula units
! DFT total energy = -8.185 eV/atom
! magnetic moment = 0.0 μB/f.u.
! V = 122.97 Å³/cell
&SYSTEM
  ibrav = 0, nat = 8, ntyp = 2
/
ATOMIC_SPECIES
Ru 101.07 Ru.upf
N 14.01 N.upf
CELL_PARAMETERS angstrom
-3.1327 3.1327 3.1327
3.1327 -3.1327 3.1327
3.1327 3.1327 -3.1327
ATOMIC_POSITIONS crystal
Ru 0.0000 0.0000 0.3005
Ru 0.0000 0.3005 0.0000
Ru 0.3005 0.0000 0.0000
Ru 0.6995 0.6995 0.6995
N 0.0000 0.0000 0.6533
N 0.0000 0.6533 0.0000
N 0.3467 0.3467 0.3467
N 0.6533 0.0000 0.0000

=====

! RuN (PBE-GGA, relaxed); values from VASP
! ΔE_f (raw) = 129 kJ/mol of formula units
! DFT total energy = -8.131 eV/atom
! magnetic moment = 0.0 μB/f.u.
! V = 40.36 Å³/cell
&SYSTEM
  ibrav = 0, nat = 4, ntyp = 2
/
ATOMIC_SPECIES
Ru 101.07 Ru.upf
N 14.01 N.upf
CELL_PARAMETERS angstrom
2.9946 0.0000 0.0000
-1.4973 2.5934 0.0000
0.0000 0.0000 5.1964
ATOMIC_POSITIONS crystal
Ru 0.0000 0.0000 0.0000
Ru 0.0000 0.0000 0.5000
N 0.3333 0.6667 0.2500
N 0.6667 0.3333 0.7500

=====

! RuS3N (PBE-GGA, relaxed); values from VASP
! ΔE_f (raw) = 608 kJ/mol of formula units
! DFT total energy = -4.737 eV/atom
! offset from the most stable computed form = 0 meV/atom
! magnetic moment = 0.0 μB/f.u.
! V = 64.73 Å³/cell
&SYSTEM
  ibrav = 0, nat = 5, ntyp = 3
/
ATOMIC_SPECIES
Ru 101.07 Ru.upf
S 32.06 S.upf
N 14.01 N.upf
CELL_PARAMETERS angstrom
4.0151 0.0000 0.0000
0.0000 4.0151 0.0000
0.0000 0.0000 4.0151
ATOMIC_POSITIONS crystal
Ru 0.0000 0.0000 0.0000
S 0.0000 0.5000 0.5000
S 0.5000 0.0000 0.5000
S 0.5000 0.5000 0.0000
N 0.5000 0.5000 0.5000

=====

! RuS2N2 (PBE-GGA, relaxed); values from VASP
! ΔE_f (raw) = 496 kJ/mol of formula units
! DFT total energy = -5.808 eV/atom
! offset from the most stable computed form = 0 meV/atom
! magnetic moment = 0.0 μB/f.u.
! V = 74.16 Å³/cell
&SYSTEM
  ibrav = 0, nat = 5, ntyp = 3
/
ATOMIC_SPECIES
Ru 101.07 Ru.upf
S 32.06 S.upf
N 14.01 N.upf
CELL_PARAMETERS angstrom
3.7161 0.0000 0.0000
0.0000 3.7161 0.0000
0.0000 0.0000 5.3699
ATOMIC_POSITIONS crystal
Ru 0.0000 0.0000 0.0000
S 0.0000 0.0000 0.5000
S 0.5000 0.5000 0.5000
N 0.0000 0.5000 0.0000
N 0.5000 0.0000 0.0000

=====

The highest V belongs to which entry? number 1

=====

Which value of magnetic moment does entry 1 give? 0.0 μB/f.u.

=====

What is the formula in the first record? RuN